Computed, not measured: a geometry-optimized Al2ZnIn structure at the PBE level of DFT.

The value obtained for the density of states at the Fermi level is 0.957 states/eV/f.u. As for the total energy: -11.01 eV for the cell shown. The energy relative to the elements comes out at 0.122 eV/atom. The crystal system is monoclinic. The space group is Cm (8).

a = 4.7360 Å, b = 4.7360 Å, c = 5.5590 Å
α = 98.69°, β = 98.69°, γ = 38.86°
Fractional coordinates of all 4 atoms:
Al  0.0000  0.0000  0.0000
Al  0.7442  0.7442  0.2155
Zn  0.4854  0.4854  0.4183
In  0.2416  0.2416  0.7056

***

Computed, not measured: a geometry-optimized Zn2TcMo structure at the PBE level of DFT.

The value obtained for the density of states at the Fermi level is 3.748 states/eV/f.u. As for the total energy: -42.37 eV for the cell shown. The energy relative to the elements comes out at 0.639 eV/atom. The crystal system is tetragonal. The space group is I-42d (122). The energy above the most stable polymorph in this dataset comes out at 606 meV/atom.

a = 5.5708 Å, b = 5.5708 Å, c = 5.5708 Å
α = 102.36°, β = 102.36°, γ = 124.87°
Fractional coordinates of all 8 atoms:
Zn  0.1202  0.6250  0.9952
Zn  0.3750  0.3702  0.4952
Zn  0.6298  0.1250  0.0048
Zn  0.8750  0.8798  0.5048
Tc  0.0000  0.0000  0.0000
Tc  0.7500  0.2500  0.5000
Mo  0.2500  0.7500  0.5000
Mo  0.5000  0.5000  0.0000

***

Computed, not measured: a geometry-optimized TaAg3Se structure at the PBE level of DFT.

The formation energy from raw total energies comes out at 1.286 eV per atom. The value obtained for the density of states at the Fermi level is 5.605 states/eV/f.u. As for the total energy: -17.46 eV for the cell shown. The crystal system is cubic. The space group is Pm-3m (221). The energy above the most stable polymorph in this dataset comes out at 0 meV/atom.

a = 4.9657 Å, b = 4.9657 Å, c = 4.9657 Å
α = 90.00°, β = 90.00°, γ = 90.00°
Fractional coordinates of all 5 atoms:
Ta  0.0000  0.0000  0.0000
Ag  0.0000  0.5000  0.5000
Ag  0.5000  0.0000  0.5000
Ag  0.5000  0.5000  0.0000
Se  0.5000  0.5000  0.5000

***

Computed, not measured: a geometry-optimized Nb2TcAg structure at the PBE level of DFT.

The value obtained for the density of states at the Fermi level is 4.930 states/eV/f.u. As for the total energy: -62.06 eV for the cell shown. The energy relative to the elements comes out at 0.581 eV/atom. The crystal system is tetragonal. The space group is I-42d (122).

a = 5.8640 Å, b = 5.8640 Å, c = 5.8640 Å
α = 103.14°, β = 103.14°, γ = 123.05°
Fractional coordinates of all 8 atoms:
Nb  0.0958  0.6250  0.9708
Nb  0.3750  0.3458  0.4708
Nb  0.6542  0.1250  0.0292
Nb  0.8750  0.9042  0.5292
Tc  0.0000  0.0000  0.0000
Tc  0.7500  0.2500  0.5000
Ag  0.2500  0.7500  0.5000
Ag  0.5000  0.5000  0.0000

***

Computed, not measured: a geometry-optimized Sr2YIrPt structure at the PBE level of DFT.

The value obtained for the density of states at the Fermi level is 7.077 states/eV/f.u. As for the total energy: -18.74 eV for the cell shown. The energy relative to the elements comes out at 1.197 eV/atom. The crystal system is tetragonal. The space group is P4/mmm (123).

a = 6.1852 Å, b = 6.1852 Å, c = 4.8721 Å
α = 90.00°, β = 90.00°, γ = 90.00°
Fractional coordinates of all 5 atoms:
Sr  0.0000  0.5000  0.0000
Sr  0.5000  0.0000  0.0000
Y  0.0000  0.0000  0.0000
Ir  0.5000  0.5000  0.5000
Pt  0.0000  0.0000  0.5000

***

Computed, not measured: a geometry-optimized Tb2PmTmS6 structure at the PBE level of DFT.

The formation energy from raw total energies comes out at -2.049 eV per atom. The value obtained for the density of states at the Fermi level is 0.000 states/eV/f.u. As for the total energy: -63.74 eV for the cell shown. The crystal system is trigonal. The space group is R3 (146).

a = 7.3814 Å, b = 7.3814 Å, c = 7.3814 Å
α = 56.27°, β = 56.27°, γ = 56.27°
Fractional coordinates of all 10 atoms:
Tb  0.0000  0.0000  0.0000
Tb  0.4967  0.4967  0.4967
Pm  0.2034  0.2034  0.2034
Tm  0.6983  0.6983  0.6983
S  0.0924  0.4065  0.7966
S  0.3007  0.8890  0.6095
S  0.4065  0.7966  0.0924
S  0.6095  0.3007  0.8890
S  0.7966  0.0924  0.4065
S  0.8890  0.6095  0.3007

***

Computed, not measured: a geometry-optimized ErMgScGa structure at the PBE level of DFT.

The value obtained for the density of states at the Fermi level is 2.609 states/eV/f.u. As for the total energy: -16.84 eV for the cell shown. The energy relative to the elements comes out at -0.330 eV/atom. The crystal system is cubic. The space group is F-43m (216).

a = 4.9932 Å, b = 4.9932 Å, c = 4.9932 Å
α = 60.00°, β = 60.00°, γ = 60.00°
Fractional coordinates of all 4 atoms:
Er  0.0000  0.0000  0.0000
Mg  0.7500  0.7500  0.7500
Sc  0.5000  0.5000  0.5000
Ga  0.2500  0.2500  0.2500

***

Computed, not measured: a geometry-optimized Ca2Al2Co structure at the PBE level of DFT.

The value obtained for the density of states at the Fermi level is 4.042 states/eV/f.u. As for the total energy: -37.19 eV for the cell shown. The energy relative to the elements comes out at 0.000 eV/atom. The crystal system is tetragonal. The space group is P4/mbm (127).

a = 6.5908 Å, b = 6.5908 Å, c = 5.0479 Å
α = 90.00°, β = 90.00°, γ = 90.00°
Fractional coordinates of all 10 atoms:
Ca  0.1780  0.3220  0.0000
Ca  0.3220  0.8220  0.0000
Ca  0.6780  0.1780  0.0000
Ca  0.8220  0.6780  0.0000
Al  0.1488  0.6488  0.5000
Al  0.3512  0.1488  0.5000
Al  0.6488  0.8512  0.5000
Al  0.8512  0.3512  0.5000
Co  0.0000  0.0000  0.5000
Co  0.5000  0.5000  0.5000